No. 1
Pr2Mg: optimized geometry, PBE.

Cell: 6.632 6.632 6.632 Å, 60.00 60.00 60.00°
Fractional positions:
Pr1 0.000 0.000 0.000
Pr2 0.000 0.000 0.500
Pr3 0.000 0.500 0.000
Pr4 0.500 0.000 0.000
Mg1 0.375 0.375 0.375
Mg2 0.625 0.625 0.625

Energy relative to the lowest polymorph listed for this composition ... 357.6 meV per atom
Calculated formation energy ... 0.291 eV per atom
Symmetry ... Fd-3m (227)

---

No. 2
CrFeCo2Bi: optimized geometry, PBE.

Cell: 4.656 4.656 4.811 Å, 90.00 90.00 90.00°
Fractional positions:
Cr1 0.000 0.000 0.000
Fe1 0.500 0.500 0.000
Co1 0.000 0.500 0.500
Co2 0.500 0.000 0.500
Bi1 0.500 0.500 0.500

Energy relative to the lowest polymorph listed for this composition ... 129.5 meV per atom
Calculated formation energy ... 2.192 eV per atom
Symmetry ... P4/mmm (123)

---

No. 3
CrPb: optimized geometry, PBE.

Cell: 4.919 4.919 4.919 Å, 40.87 40.87 40.87°
Fractional positions:
Cr1 0.000 0.000 0.000
Pb1 0.500 0.500 0.500

Calculated formation energy ... 0.659 eV per atom
Symmetry ... R-3m (166)

---

No. 4
Pu2MgSn: optimized geometry, PBE.

Cell: 4.466 4.466 4.955 Å, 90.00 90.00 90.00°
Fractional positions:
Pu1 0.000 0.500 0.000
Pu2 0.500 0.000 0.000
Mg1 0.000 0.000 0.500
Sn1 0.500 0.500 0.500

Calculated formation energy ... -0.196 eV per atom
Symmetry ... P4/mmm (123)

---

No. 5
Tb3PmTh2: optimized geometry, PBE.

Cell: 6.715 6.715 11.373 Å, 90.00 90.00 117.70°
Fractional positions:
Tb1 0.005 0.995 0.750
Tb2 0.014 0.495 0.750
Tb3 0.495 0.014 0.250
Tb4 0.505 0.986 0.750
Tb5 0.986 0.505 0.250
Tb6 0.995 0.005 0.250
Pm1 0.485 0.515 0.250
Pm2 0.515 0.485 0.750
Th1 0.245 0.245 0.000
Th2 0.245 0.245 0.500
Th3 0.755 0.755 0.000
Th4 0.755 0.755 0.500

Energy relative to the lowest polymorph listed for this composition ... 490.8 meV per atom
Calculated formation energy ... 0.585 eV per atom
Symmetry ... Cmcm (63)

---

No. 6
LiTb3Tm3Te8: optimized geometry, PBE.

Cell: 8.651 8.651 8.651 Å, 59.89 59.89 59.89°
Fractional positions:
Li1 0.000 0.000 0.000
Tb1 0.000 0.000 0.500
Tb2 0.000 0.500 0.000
Tb3 0.500 0.000 0.000
Tm1 0.000 0.500 0.500
Tm2 0.500 0.000 0.500
Tm3 0.500 0.500 0.000
Te1 0.250 0.250 0.747
Te2 0.250 0.747 0.250
Te3 0.252 0.252 0.252
Te4 0.253 0.750 0.750
Te5 0.747 0.250 0.250
Te6 0.748 0.748 0.748
Te7 0.750 0.253 0.750
Te8 0.750 0.750 0.253

Formation energy without anion corrections ... -1300.9 meV per atom
Symmetry ... R-3m (166)

---

| no. | E (eV/atom) | magnetic moment (μB per formula unit) |
| --- | --- | --- |
| 1 | -3.43 | 0.3 |
| 2 | -5.04 | 2.2 |
| 3 | -6.01 | 4.1 |
| 4 | -8.76 | 11.7 |
| 5 | -5.00 | 0.0 |
| 6 | -4.92 | 0.0 |